Entry 1:
Crystalline Ac3Nd7 at its relaxed geometry. Source: the Alexandria database, functional PBE. Values from VASP.

Values from the calculation:
The value obtained for the energy of formation from the pure elements is 2.6 kJ/mol of atoms. Its space group is C2/m, No. 12.

Quantum ESPRESSO input file:
```
&SYSTEM
  ibrav = 0, nat = 10, ntyp = 2
/
ATOMIC_SPECIES
Ac 227.00 Ac.upf
Nd 144.24 Nd.upf
ATOMIC_POSITIONS crystal
Ac 0.000 0.000 0.000
Ac 0.198 0.198 0.602
Ac 0.802 0.802 0.398
Nd 0.000 0.000 0.500
Nd 0.200 0.200 0.100
Nd 0.400 0.400 0.198
Nd 0.401 0.401 0.700
Nd 0.599 0.599 0.300
Nd 0.600 0.600 0.802
Nd 0.800 0.800 0.900
CELL_PARAMETERS angstrom
9.600 -2.682 0.000
9.600 2.682 0.000
-1.536 0.000 7.364
```


Entry 2:
Crystalline Ca5InGa4 at its relaxed geometry. Source: the Alexandria database, functional PBE. Values from VASP.

Values from the calculation:
The value obtained for the energy of formation from the pure elements is -42.6 kJ/mol of atoms. Its space group is P4/mmm, No. 123.

Quantum ESPRESSO input file:
```
&SYSTEM
  ibrav = 0, nat = 10, ntyp = 3
/
ATOMIC_SPECIES
Ca 40.08 Ca.upf
In 114.82 In.upf
Ga 69.72 Ga.upf
ATOMIC_POSITIONS crystal
Ca 0.000 0.000 0.000
Ca 0.000 0.000 0.195
Ca 0.000 0.000 0.389
Ca 0.000 0.000 0.611
Ca 0.000 0.000 0.805
In 0.500 0.500 0.500
Ga 0.500 0.500 0.098
Ga 0.500 0.500 0.292
Ga 0.500 0.500 0.708
Ga 0.500 0.500 0.902
CELL_PARAMETERS angstrom
3.721 0.000 0.000
0.000 3.721 0.000
0.000 0.000 18.486
```


Entry 3:
Crystalline CaPu2NpP4 at its relaxed geometry. Source: the Alexandria database, functional PBE. Values from VASP.

Values from the calculation:
The value obtained for the energy of formation from the pure elements is -97.7 kJ/mol of atoms. Its space group is P2/m, No. 10.

Quantum ESPRESSO input file:
```
&SYSTEM
  ibrav = 0, nat = 8, ntyp = 4
/
ATOMIC_SPECIES
Ca 40.08 Ca.upf
Pu 244.00 Pu.upf
Np 237.00 Np.upf
P 30.97 P.upf
ATOMIC_POSITIONS crystal
Ca 0.000 0.000 0.000
Pu 0.500 0.000 0.500
Pu 0.500 0.500 0.000
Np 0.000 0.500 0.500
P 0.253 0.000 0.743
P 0.260 0.500 0.264
P 0.740 0.500 0.736
P 0.747 0.000 0.257
CELL_PARAMETERS angstrom
6.910 0.000 0.000
0.000 4.016 0.000
-2.309 0.000 6.577
```


Entry 4:
Crystalline Ce4NdZn5 at its relaxed geometry. Source: the Alexandria database, functional PBE. Values from VASP.

Values from the calculation:
The value obtained for the energy of formation from the pure elements is -18.4 kJ/mol of atoms. Its space group is P4/mmm, No. 123.

Quantum ESPRESSO input file:
```
&SYSTEM
  ibrav = 0, nat = 10, ntyp = 3
/
ATOMIC_SPECIES
Ce 140.12 Ce.upf
Nd 144.24 Nd.upf
Zn 65.41 Zn.upf
ATOMIC_POSITIONS crystal
Ce 0.000 0.000 0.100
Ce 0.000 0.000 0.300
Ce 0.000 0.000 0.700
Ce 0.000 0.000 0.900
Nd 0.000 0.000 0.500
Zn 0.500 0.500 0.000
Zn 0.500 0.500 0.200
Zn 0.500 0.500 0.399
Zn 0.500 0.500 0.601
Zn 0.500 0.500 0.800
CELL_PARAMETERS angstrom
3.256 0.000 0.000
0.000 3.256 0.000
0.000 0.000 21.559
```


Entry 5:
Crystalline Sm5Te7 at its relaxed geometry. Source: the Alexandria database, functional PBE. Values from VASP.

Values from the calculation:
Its raw formation energy is -1.4163 eV/atom. Its space group is C2/m, No. 12.

Quantum ESPRESSO input file:
```
&SYSTEM
  ibrav = 0, nat = 12, ntyp = 2
/
ATOMIC_SPECIES
Sm 150.36 Sm.upf
Te 127.60 Te.upf
ATOMIC_POSITIONS crystal
Sm 0.000 0.000 0.000
Sm 0.115 0.115 0.424
Sm 0.299 0.299 0.188
Sm 0.701 0.701 0.812
Sm 0.885 0.885 0.576
Te 0.038 0.038 0.783
Te 0.257 0.257 0.651
Te 0.339 0.339 0.952
Te 0.500 0.500 0.500
Te 0.661 0.661 0.048
Te 0.743 0.743 0.349
Te 0.962 0.962 0.217
CELL_PARAMETERS angstrom
7.290 -2.159 0.000
7.290 2.159 0.000
-3.300 0.000 12.980
```


Entry 6:
Crystalline Ac2BeAlO6 at its relaxed geometry. Source: the Alexandria database, functional PBE. Values from VASP.

Values from the calculation:
Its raw formation energy is -2.8055 eV/atom. Its space group is P-3m1, No. 164.

Quantum ESPRESSO input file:
```
&SYSTEM
  ibrav = 0, nat = 10, ntyp = 4
/
ATOMIC_SPECIES
Ac 227.00 Ac.upf
Be 9.01 Be.upf
Al 26.98 Al.upf
O 16.00 O.upf
ATOMIC_POSITIONS crystal
Ac 0.333 0.667 0.232
Ac 0.667 0.333 0.768
Be 0.000 0.000 0.000
Al 0.000 0.000 0.500
O 0.158 0.316 0.754
O 0.158 0.842 0.754
O 0.316 0.158 0.246
O 0.684 0.842 0.754
O 0.842 0.158 0.246
O 0.842 0.684 0.246
CELL_PARAMETERS angstrom
5.418 0.000 0.000
-2.709 4.692 0.000
0.000 0.000 4.625
```


Entry 7:
Crystalline Bi2H2Pt at its relaxed geometry. Source: the Alexandria database, functional PBE. Values from VASP.

Values from the calculation:
The calculated total energy comes out at -3.81 eV per atom. Its space group is I4/mmm, No. 139.

Quantum ESPRESSO input file:
```
&SYSTEM
  ibrav = 0, nat = 5, ntyp = 3
/
ATOMIC_SPECIES
Bi 208.98 Bi.upf
H 1.01 H.upf
Pt 195.08 Pt.upf
ATOMIC_POSITIONS crystal
Bi 0.131 0.131 0.000
Bi 0.869 0.869 0.000
H 0.250 0.750 0.500
H 0.750 0.250 0.500
Pt 0.500 0.500 0.000
CELL_PARAMETERS angstrom
-1.749 1.749 6.705
1.749 -1.749 6.705
1.749 1.749 -6.705
```


Entry 8:
Crystalline Al2Ga2Au5 at its relaxed geometry. Source: the Alexandria database, functional PBE. Values from VASP.

Values from the calculation:
The value obtained for the energy of formation from the pure elements is -23.2 kJ/mol of atoms. Its space group is P-1, No. 2.

Quantum ESPRESSO input file:
```
&SYSTEM
  ibrav = 0, nat = 9, ntyp = 3
/
ATOMIC_SPECIES
Al 26.98 Al.upf
Ga 69.72 Ga.upf
Au 196.97 Au.upf
ATOMIC_POSITIONS crystal
Al 0.098 0.302 0.154
Al 0.902 0.698 0.846
Ga 0.263 0.205 0.737
Ga 0.737 0.795 0.263
Au 0.000 0.000 0.500
Au 0.304 0.780 0.048
Au 0.490 0.673 0.643
Au 0.510 0.327 0.357
Au 0.696 0.220 0.952
CELL_PARAMETERS angstrom
4.561 0.000 0.000
0.390 5.193 0.000
1.569 1.203 6.913
```